Entry 1:
LiAc2Ag3Sn4 (GGA-PBE, optimized geometry); total DFT energy (no corrections) = -39.38 eV/cell; ΔH_f (0 K) = -0.468 eV/atom
1.0
4.6901 0.0000 0.0000
0.0000 4.6901 0.0000
0.0000 0.0000 11.7589
Li Ac Ag Sn
1 2 3 4
direct
0.0000 0.0000 0.0000
0.0000 0.5000 0.7583
0.5000 0.0000 0.2417
0.0000 0.5000 0.3600
0.5000 0.0000 0.6400
0.5000 0.5000 0.0000
0.0000 0.0000 0.5000
0.0000 0.5000 0.1287
0.5000 0.0000 0.8713
0.5000 0.5000 0.5000

Entry 2:
SmZn2Ag5 (GGA-PBE, optimized geometry); total DFT energy (no corrections) = -22.37 eV/cell; ΔH_f (0 K) = -0.106 eV/atom
1.0
-1.9385 3.9656 5.1024
1.9385 -3.9656 5.1024
1.9385 3.9656 -5.1024
Sm Zn Ag
1 2 5
direct
0.0000 0.0000 0.0000
0.2376 0.7376 0.5000
0.7624 0.2624 0.5000
0.1609 0.3571 0.8039
0.4468 0.6429 0.8039
0.5000 0.0000 0.5000
0.5532 0.3571 0.1961
0.8391 0.6429 0.1961

Entry 3:
Cs2TaIn (GGA-PBE, optimized geometry); total DFT energy (no corrections) = -21.75 eV/cell; ΔH_f (0 K) = 1.355 eV/atom
1.0
-2.3050 2.3050 13.3924
2.3050 -2.3050 13.3924
2.3050 2.3050 -13.3924
Cs Ta In
4 2 2
direct
0.1227 0.6250 0.9977
0.3750 0.3727 0.4977
0.6273 0.1250 0.0023
0.8750 0.8773 0.5023
0.0000 0.0000 0.0000
0.7500 0.2500 0.5000
0.2500 0.7500 0.5000
0.5000 0.5000 0.0000

Entry 4:
AcPaAs (GGA-PBE, optimized geometry); total DFT energy (no corrections) = -18.64 eV/cell; ΔH_f (0 K) = -0.127 eV/atom; offset from the most stable computed form = 0.250 eV/atom
1.0
4.9553 0.0000 0.0000
-2.4777 4.2914 0.0000
0.0000 0.0000 4.3127
Ac Pa As
1 1 1
direct
0.0000 0.0000 0.0000
0.6667 0.3333 0.4997
0.3333 0.6667 0.4978

Entry 5:
Li4Au3 (GGA-PBE, optimized geometry); total DFT energy (no corrections) = -20.14 eV/cell; ΔH_f (0 K) = -0.380 eV/atom; offset from the most stable computed form = 0.136 eV/atom
1.0
5.4485 0.0000 0.0000
-2.7243 4.7186 0.0000
0.0000 0.0000 4.8783
Li Au
4 3
direct
0.0000 0.0000 0.2386
0.0000 0.0000 0.7614
0.3333 0.6667 0.5000
0.6667 0.3333 0.5000
0.0000 0.5000 0.0000
0.5000 0.0000 0.0000
0.5000 0.5000 0.0000

Entry 6:
SrHgBiS2 (GGA-PBE, optimized geometry); total DFT energy (no corrections) = -15.96 eV/cell
1.0
5.4854 0.0000 0.0000
0.0000 5.4854 0.0000
0.0000 0.0000 5.4851
Sr Hg Bi S
1 1 1 2
direct
0.0000 0.0000 0.0000
0.5000 0.5000 0.0000
0.5000 0.5000 0.5000
0.0000 0.5000 0.5000
0.5000 0.0000 0.5000

Entry 7:
K2NaInCl5 (GGA-PBE, optimized geometry); total DFT energy (no corrections) = -58.61 eV/cell
1.0
2.3461 -8.8637 0.0000
2.3461 8.8637 0.0000
0.0000 0.0000 12.9536
K Na In Cl
4 2 2 10
direct
0.1161 0.8839 0.5000
0.1459 0.8541 0.1214
0.8541 0.1459 0.6214
0.8839 0.1161 0.0000
0.2171 0.7829 0.8398
0.7829 0.2171 0.3398
0.4635 0.5365 0.2758
0.5365 0.4635 0.7758
0.0506 0.9494 0.8588
0.2875 0.7125 0.4742
0.3207 0.6793 0.1940
0.3732 0.6268 0.8163
0.4932 0.5068 0.5865
0.5068 0.4932 0.0865
0.6268 0.3732 0.3163
0.6793 0.3207 0.6940
0.7125 0.2875 0.9742
0.9494 0.0506 0.3588

Entry 8:
EuTh3Co (GGA-PBE, optimized geometry); total DFT energy (no corrections) = -39.37 eV/cell; ΔH_f (0 K) = 0.054 eV/atom
1.0
5.3983 0.0000 0.0000
0.0000 5.3983 0.0000
0.0000 0.0000 5.3983
Eu Th Co
1 3 1
direct
0.0000 0.0000 0.0000
0.0000 0.5000 0.5000
0.5000 0.0000 0.5000
0.5000 0.5000 0.0000
0.5000 0.5000 0.5000

- What is the total DFT energy (no corrections) in the third record?
  -21.75 eV/cell